PrThZnOs | GGA-PBE | relaxed

Geometry as POSCAR:
```
PrThZnOs
1.0
-0.929 4.872 -1.231
-2.584 3.003 3.228
2.413 3.765 2.474
Pr Th Zn Os
1 1 1 1
direct
0.250 0.250 0.250
0.750 0.750 0.750
0.000 0.000 0.000
0.500 0.500 0.500
```

Output
The symmetry is No. 216. For the calculated formation energy, the calculation gives -0.14 eV/atom. Its electronic total energy is -25.25 eV per cell.

***

Pr6TlOs2 | GGA-PBE | relaxed

Geometry as POSCAR:
```
Pr6TlOs2
1.0
-1.437 -7.427 -4.624
7.970 3.538 -1.603
-0.149 -1.747 8.691
Pr Tl Os
12 2 4
direct
0.209 0.239 0.448
0.791 0.239 0.030
0.535 0.720 0.815
0.095 0.280 0.815
0.791 0.761 0.552
0.687 0.016 0.329
0.465 0.280 0.185
0.687 0.359 0.671
0.313 0.641 0.329
0.209 0.761 0.970
0.905 0.720 0.185
0.313 0.984 0.671
0.000 0.000 0.000
0.000 0.500 0.500
0.667 0.000 0.667
0.333 0.000 0.333
0.500 0.615 0.115
0.500 0.385 0.885
```

Output
The symmetry is No. 71. For the calculated formation energy, the calculation gives -0.15 eV/atom. Its electronic total energy is -109.67 eV per cell.

***

Pr5Tl2Os | GGA-PBE | relaxed

Geometry as POSCAR:
```
Pr5Tl2Os
1.0
-4.003 2.002 1.790
-1.495 -6.823 4.289
6.629 4.619 9.659
Tl Pr Os
4 10 2
direct
0.500 0.427 0.830
0.500 0.573 0.170
0.500 0.927 0.670
0.500 0.073 0.330
0.500 0.317 0.568
0.000 0.359 0.299
0.500 0.817 0.932
0.000 0.141 0.799
0.000 0.500 0.000
0.500 0.183 0.068
0.000 0.859 0.201
0.500 0.683 0.432
0.000 0.000 0.500
0.000 0.641 0.701
0.000 0.500 0.500
0.000 0.000 0.000
```

Output
The value obtained for the excess energy over the best structure of this formula in the dataset is 0.00 eV/f.u. The symmetry is No. 55. For the calculated formation energy, the calculation gives -0.26 eV/atom. Its electronic total energy is -83.86 eV per cell.

***

Pr5Tl2Os | GGA-PBE | relaxed

Geometry as POSCAR:
```
Pr5Tl2Os
1.0
5.788 0.000 0.000
-2.894 8.526 0.000
0.000 0.000 12.717
Os Tl Pr
2 4 10
direct
0.183 0.366 0.250
0.817 0.634 0.750
0.873 0.746 0.368
0.127 0.254 0.868
0.127 0.254 0.632
0.873 0.746 0.132
0.303 0.606 0.750
0.934 0.867 0.898
0.697 0.394 0.250
0.293 0.586 0.078
0.293 0.586 0.422
0.066 0.133 0.102
0.066 0.133 0.398
0.934 0.867 0.602
0.707 0.414 0.922
0.707 0.414 0.578
```

Output
The value obtained for the excess energy over the best structure of this formula in the dataset is 2.72 eV/f.u. The symmetry is No. 63. For the calculated formation energy, the calculation gives 0.08 eV/atom. Its electronic total energy is -78.43 eV per cell.

***

PrTmOs | GGA-PBE | relaxed

Geometry as POSCAR:
```
PrTmOs
1.0
-2.969 -1.443 -0.944
0.853 -2.863 1.693
-1.875 4.560 5.173
Tm Pr Os
1 1 1
direct
0.289 0.289 0.578
0.038 0.038 0.077
0.673 0.673 0.345
```

Output
The value obtained for the excess energy over the best structure of this formula in the dataset is 0.00 eV/f.u. The symmetry is No. 107. For the calculated formation energy, the calculation gives -0.13 eV/atom. Its electronic total energy is -20.88 eV per cell.

***

PrTm2Os | GGA-PBE | relaxed

Geometry as POSCAR:
```
PrTm2Os
1.0
-5.057 2.234 -3.200
-2.827 -6.941 -0.379
-4.316 1.335 7.752
Tm Pr Os
8 4 4
direct
0.340 0.173 0.436
0.160 0.673 0.436
0.840 0.327 0.564
0.160 0.673 0.064
0.660 0.827 0.936
0.340 0.173 0.064
0.660 0.827 0.564
0.840 0.327 0.936
0.127 0.962 0.750
0.373 0.462 0.750
0.873 0.038 0.250
0.627 0.538 0.250
0.057 0.382 0.250
0.943 0.618 0.750
0.443 0.882 0.250
0.557 0.118 0.750
```

Output
The value obtained for the excess energy over the best structure of this formula in the dataset is 0.00 eV/f.u. The symmetry is No. 62. For the calculated formation energy, the calculation gives -0.22 eV/atom. Its electronic total energy is -103.36 eV per cell.

***

PrTmOs | GGA-PBE | relaxed

Geometry as POSCAR:
```
PrTmOs
1.0
-0.071 3.618 -3.220
-3.875 0.644 -2.835
-2.908 3.810 0.701
Tm Os Pr
1 1 1
direct
0.000 0.000 0.000
0.250 0.250 0.250
0.500 0.500 0.500
```

Output
The value obtained for the excess energy over the best structure of this formula in the dataset is 0.07 eV/f.u. The symmetry is No. 216. For the calculated formation energy, the calculation gives -0.11 eV/atom. Its electronic total energy is -20.81 eV per cell.

***

PrTm2Os | GGA-PBE | relaxed

Geometry as POSCAR:
```
PrTm2Os
1.0
-0.586 1.790 -4.314
1.715 -2.277 -3.746
-4.366 -2.915 -3.185
Os Pr Tm
1 1 2
direct
0.000 0.000 0.000
0.500 0.500 0.500
0.719 0.719 0.843
0.281 0.281 0.157
```

Output
The value obtained for the excess energy over the best structure of this formula in the dataset is 1.20 eV/f.u. The symmetry is No. 166. For the calculated formation energy, the calculation gives 0.08 eV/atom. Its electronic total energy is -24.64 eV per cell.

***

Pr3TmOs | GGA-PBE | relaxed

Geometry as POSCAR:
```
Pr3TmOs
1.0
-2.138 4.947 -1.627
-5.058 -2.390 -0.621
-1.236 1.226 5.353
Os Tm Pr
1 1 3
direct
0.000 0.000 0.000
0.500 0.500 0.500
0.500 0.000 0.000
0.000 0.500 0.000
0.000 0.000 0.500
```

Output
The symmetry is No. 221. For the calculated formation energy, the calculation gives 0.19 eV/atom. Its electronic total energy is -29.07 eV per cell.

***

PrTm2Os | GGA-PBE | relaxed

Geometry as POSCAR:
```
PrTm2Os
1.0
3.401 0.000 0.000
0.000 3.401 0.000
0.000 0.000 9.192
Pr Tm Os
1 2 1
direct
0.500 0.500 0.500
0.000 0.000 0.176
0.000 0.000 0.824
0.500 0.500 0.000
```

Output
The value obtained for the excess energy over the best structure of this formula in the dataset is 0.10 eV/f.u. The symmetry is No. 123. For the calculated formation energy, the calculation gives -0.20 eV/atom. Its electronic total energy is -25.73 eV per cell.

***

PrTm3Os | GGA-PBE | relaxed

Geometry as POSCAR:
```
PrTm3Os
1.0
5.383 0.000 0.000
0.000 5.383 0.000
0.000 0.000 5.383
Tm Os Pr
3 1 1
direct
0.500 0.000 0.000
0.000 0.500 0.000
0.000 0.000 0.500
0.000 0.000 0.000
0.500 0.500 0.500
```

Output
The symmetry is No. 221. For the calculated formation energy, the calculation gives -0.05 eV/atom. Its electronic total energy is -29.69 eV per cell.

***

Pr3UOs3 | GGA-PBE | relaxed

Geometry as POSCAR:
```
Pr3UOs3
1.0
-0.965 -2.544 3.905
-3.217 -4.802 -1.023
10.917 -8.511 0.055
U Os Pr
2 6 6
direct
0.799 0.998 0.404
0.201 0.002 0.596
0.930 0.908 0.233
0.102 0.867 0.928
0.141 0.269 0.449
0.898 0.133 0.072
0.859 0.731 0.551
0.070 0.092 0.767
0.613 0.702 0.072
0.387 0.298 0.928
0.501 0.628 0.370
0.249 0.281 0.221
0.751 0.719 0.779
0.499 0.372 0.630
```

Output
The symmetry is No. 12. For the calculated formation energy, the calculation gives -0.03 eV/atom. Its electronic total energy is -119.11 eV per cell.

***

PrUOs | GGA-PBE | relaxed

Geometry as POSCAR:
```
PrUOs
1.0
3.547 0.000 0.000
0.000 3.547 0.000
-1.774 -1.774 5.636
Os U Pr
1 1 1
direct
0.297 0.297 0.593
0.703 0.703 0.406
0.000 0.000 0.000
```

Output
The symmetry is No. 107. For the calculated formation energy, the calculation gives 0.07 eV/atom. Its electronic total energy is -27.10 eV per cell.

***

PrYOs | GGA-PBE | relaxed

Geometry as POSCAR:
```
PrYOs
1.0
-0.475 3.973 2.794
-2.500 -0.244 4.184
2.352 0.278 4.267
Os Pr Y
1 1 1
direct
0.250 0.250 0.250
0.500 0.500 0.500
0.000 0.000 0.000
```

Output
The value obtained for the excess energy over the best structure of this formula in the dataset is 0.03 eV/f.u. The symmetry is No. 216. For the calculated formation energy, the calculation gives -0.08 eV/atom. Its electronic total energy is -22.70 eV per cell.

***

PrYOs4 | GGA-PBE | relaxed

Geometry as POSCAR:
```
PrYOs4
1.0
5.415 0.000 0.000
2.708 4.690 0.000
2.708 1.563 4.421
Os Pr Y
4 1 1
direct
0.625 0.124 0.625
0.124 0.625 0.625
0.625 0.625 0.625
0.625 0.625 0.124
0.250 0.250 0.250
0.000 0.000 0.000
```

Output
The symmetry is No. 216. For the calculated formation energy, the calculation gives -0.13 eV/atom. Its electronic total energy is -56.96 eV per cell.

***

PrYOs | GGA-PBE | relaxed

Geometry as POSCAR:
```
PrYOs
1.0
-0.298 -2.147 -2.698
3.419 0.170 -0.513
-0.673 -4.344 5.751
Pr Y Os
1 1 1
direct
0.293 0.293 0.586
0.044 0.044 0.088
0.663 0.663 0.326
```

Output
The value obtained for the excess energy over the best structure of this formula in the dataset is 0.00 eV/f.u. The symmetry is No. 107. For the calculated formation energy, the calculation gives -0.09 eV/atom. Its electronic total energy is -22.73 eV per cell.

***

Pr2Y3Os2 | GGA-PBE | relaxed

Geometry as POSCAR:
```
Pr2Y3Os2
1.0
3.872 -0.001 -0.868
-2.368 5.786 -1.497
-0.117 0.233 8.547
Pr Os Y
2 2 3
direct
0.361 0.524 0.197
0.639 0.476 0.803
0.951 0.127 0.776
0.049 0.873 0.224
0.800 0.175 0.426
0.200 0.825 0.574
0.500 0.000 0.000
```

Output
The symmetry is No. 12. For the calculated formation energy, the calculation gives -0.15 eV/atom. Its electronic total energy is -52.46 eV per cell.

***

PrYZnOs | GGA-PBE | relaxed

Geometry as POSCAR:
```
PrYZnOs
1.0
-1.380 -4.401 1.991
2.451 -1.834 3.983
-2.248 -0.131 4.490
Pr Y Zn Os
1 1 1 1
direct
0.250 0.250 0.250
0.750 0.750 0.750
0.000 0.000 0.000
0.500 0.500 0.500
```

Output
The symmetry is No. 216. For the calculated formation energy, the calculation gives -0.15 eV/atom. Its electronic total energy is -24.35 eV per cell.

***

Pr2ZnOs | GGA-PBE | relaxed

Geometry as POSCAR:
```
Pr2ZnOs
1.0
3.571 0.000 0.000
0.000 3.571 0.000
0.000 0.000 7.603
Pr Os Zn
2 1 1
direct
0.000 0.000 0.770
0.000 0.000 0.230
0.500 0.500 0.000
0.500 0.500 0.500
```

Output
The value obtained for the excess energy over the best structure of this formula in the dataset is 0.39 eV/f.u. The symmetry is No. 123. For the calculated formation energy, the calculation gives -0.06 eV/atom. Its electronic total energy is -22.31 eV per cell.

***

Pr3Zn2Os | GGA-PBE | relaxed

Geometry as POSCAR:
```
Pr3Zn2Os
1.0
-0.800 4.311 0.861
-6.848 -2.953 8.421
9.622 0.208 7.898
Zn Pr Os
8 12 4
direct
0.750 0.199 0.014
0.250 0.009 0.295
0.250 0.491 0.795
0.250 0.699 0.486
0.750 0.301 0.514
0.250 0.801 0.986
0.750 0.991 0.705
0.750 0.509 0.205
0.250 0.445 0.388
0.250 0.055 0.888
0.250 0.116 0.553
0.250 0.787 0.735
0.750 0.555 0.612
0.250 0.713 0.235
0.750 0.884 0.447
0.750 0.616 0.947
0.250 0.384 0.053
0.750 0.213 0.265
0.750 0.287 0.765
0.750 0.945 0.112
0.750 0.863 0.882
0.250 0.137 0.118
0.750 0.637 0.382
0.250 0.363 0.618
```

Output
The symmetry is No. 62. For the calculated formation energy, the calculation gives -0.20 eV/atom. Its electronic total energy is -117.16 eV per cell.